# 1
The following is a DFT calculation (PBE-GGA) of a relaxed PmAl2Pt2 crystal.

Cell: 6.382 6.382 6.382 Å, 142.30 142.30 54.38°
Sites, in units of the cell vectors:
Pm  0.000  0.000  0.000
Al  0.250  0.750  0.500
Al  0.750  0.250  0.500
Pt  0.380  0.380  0.000
Pt  0.620  0.620  0.000

Results
Energy relative to the elements in eV/atom: -1.120
Mass density in g cm⁻³: 10.13
Total magnetic moment in μB/cell: 0.0



# 2
The following is a DFT calculation (PBE-GGA) of a relaxed Rb2NaCCl6 crystal.

Cell: 6.898 6.898 6.898 Å, 115.75 115.75 97.53°
Sites, in units of the cell vectors:
Rb  0.250  0.750  0.500
Rb  0.750  0.250  0.500
Na  0.000  0.000  0.000
C  0.500  0.500  0.000
Cl  0.275  0.275  0.000
Cl  0.276  0.276  0.552
Cl  0.276  0.724  0.000
Cl  0.724  0.276  0.000
Cl  0.724  0.724  0.448
Cl  0.725  0.725  0.000

Results
E_form (uncorrected) in eV per formula unit: -6.56
Mass density in g cm⁻³: 2.84
Total magnetic moment in μB/cell: 0.7



# 3
The following is a DFT calculation (PBE-GGA) of a relaxed PuIn2Te4Pb crystal.

Cell: 7.885 4.494 8.132 Å, 90.00 108.62 90.00°
Sites, in units of the cell vectors:
Pu  0.000  0.000  0.000
In  0.000  0.500  0.500
In  0.500  0.000  0.500
Te  0.229  0.500  0.235
Te  0.235  0.000  0.753
Te  0.765  0.000  0.247
Te  0.771  0.500  0.765
Pb  0.500  0.500  0.000

Results
E_form (uncorrected) in eV per formula unit: -3.93
Mass density in g cm⁻³: 7.24
Total magnetic moment in μB/cell: 4.8



# 4
The following is a DFT calculation (PBE-GGA) of a relaxed NbNiAs crystal.

Cell: 5.201 5.201 5.201 Å, 137.55 98.49 96.58°
Sites, in units of the cell vectors:
Nb  0.000  0.000  0.000
Nb  0.612  0.112  0.500
Ni  0.038  0.726  0.311
Ni  0.415  0.726  0.689
As  0.178  0.405  0.773
As  0.632  0.405  0.227

Results
Energy relative to the elements in eV/atom: -0.459
Mass density in g cm⁻³: 8.50
Total magnetic moment in μB/cell: 0.0



# 5
The following is a DFT calculation (PBE-GGA) of a relaxed NaNiS2N crystal.

Cell: 4.811 4.811 4.041 Å, 90.00 90.00 90.00°
Sites, in units of the cell vectors:
Na  0.000  0.000  0.000
Ni  0.500  0.500  0.500
S  0.000  0.500  0.000
S  0.500  0.000  0.000
N  0.000  0.000  0.500

Results
E_form (uncorrected) in eV per formula unit: 9.73
Mass density in g cm⁻³: 2.84
Total magnetic moment in μB/cell: 1.4



# 6
The following is a DFT calculation (PBE-GGA) of a relaxed TbPrCuPd crystal.

Cell: 4.569 5.737 5.737 Å, 39.05 90.00 90.00°
Sites, in units of the cell vectors:
Tb  0.000  0.000  0.000
Pr  0.500  0.723  0.723
Cu  0.000  0.289  0.289
Pd  0.500  0.443  0.443

Results
Energy relative to the elements in eV/atom: -0.519
Mass density in g cm⁻³: 8.23
Total magnetic moment in μB/cell: 0.0



# 7
The following is a DFT calculation (PBE-GGA) of a relaxed Bi2RhS crystal.

Cell: 7.732 7.732 7.732 Å, 132.37 132.37 69.64°
Sites, in units of the cell vectors:
Bi  0.097  0.625  0.972
Bi  0.375  0.347  0.472
Bi  0.653  0.125  0.028
Bi  0.875  0.903  0.528
Rh  0.000  0.000  0.000
Rh  0.750  0.250  0.500
S  0.250  0.750  0.500
S  0.500  0.500  0.000

Results
E_form (uncorrected) in eV per formula unit: 0.35
Mass density in g cm⁻³: 7.42
Total magnetic moment in μB/cell: 0.0



# 8
The following is a DFT calculation (PBE-GGA) of a relaxed LiCaBe2 crystal.

Cell: 4.641 4.641 4.641 Å, 60.00 60.00 60.00°
Sites, in units of the cell vectors:
Li  0.000  0.000  0.000
Ca  0.500  0.500  0.500
Be  0.250  0.250  0.250
Be  0.750  0.750  0.750

Results
Energy relative to the elements in eV/atom: 0.538
Mass density in g cm⁻³: 1.53
Total magnetic moment in μB/cell: 0.0



# 9
The following is a DFT calculation (PBE-GGA) of a relaxed LaPmEr2 crystal.

Cell: 3.640 3.640 9.980 Å, 90.00 90.00 90.00°
Sites, in units of the cell vectors:
La  0.000  0.000  0.000
Pm  0.000  0.000  0.500
Er  0.500  0.500  0.253
Er  0.500  0.500  0.747

Results
Energy relative to the elements in eV/atom: 0.028
Mass density in g cm⁻³: 7.76
Total magnetic moment in μB/cell: 0.0



# 10
The following is a DFT calculation (PBE-GGA) of a relaxed BeB2O4 crystal.

Cell: 3.537 3.537 3.875 Å, 90.00 90.00 90.00°
Sites, in units of the cell vectors:
Be  0.000  0.000  0.000
B  0.000  0.500  0.500
B  0.500  0.000  0.500
O  0.246  0.246  0.283
O  0.246  0.754  0.717
O  0.754  0.246  0.717
O  0.754  0.754  0.283

Results
E_form (uncorrected) in eV per formula unit: -16.46
Mass density in g cm⁻³: 3.24
Total magnetic moment in μB/cell: 0.0



# 11
The following is a DFT calculation (PBE-GGA) of a relaxed Pr3Zn2Pd6 crystal.

Cell: 8.368 8.368 8.368 Å, 109.47 109.47 109.47°
Sites, in units of the cell vectors:
Pr  0.000  0.298  0.298
Pr  0.000  0.702  0.702
Pr  0.298  0.000  0.298
Pr  0.298  0.298  0.000
Pr  0.702  0.000  0.702
Pr  0.702  0.702  0.000
Zn  0.000  0.000  0.500
Zn  0.000  0.500  0.000
Zn  0.500  0.000  0.000
Zn  0.500  0.500  0.500
Pd  0.000  0.332  0.668
Pd  0.000  0.668  0.332
Pd  0.332  0.000  0.668
Pd  0.332  0.332  0.664
Pd  0.332  0.664  0.332
Pd  0.332  0.668  0.000
Pd  0.336  0.668  0.668
Pd  0.664  0.332  0.332
Pd  0.668  0.000  0.332
Pd  0.668  0.332  0.000
Pd  0.668  0.336  0.668
Pd  0.668  0.668  0.336

Results
Energy relative to the elements in eV/atom: -0.734
Mass density in g cm⁻³: 8.78
Total magnetic moment in μB/cell: 0.0



# 12
The following is a DFT calculation (PBE-GGA) of a relaxed SrLi5In7 crystal.

Cell: 7.627 7.627 7.627 Å, 134.91 98.64 98.27°
Sites, in units of the cell vectors:
Sr  0.000  0.000  0.000
Li  0.497  0.501  0.505
Li  0.497  0.992  0.995
Li  0.771  0.271  0.500
Li  0.996  0.501  0.005
Li  0.996  0.992  0.495
In  0.202  0.488  0.714
In  0.226  0.726  0.500
In  0.343  0.343  0.000
In  0.355  0.009  0.346
In  0.651  0.651  0.000
In  0.663  0.009  0.654
In  0.773  0.488  0.286

Results
Energy relative to the elements in eV/atom: -0.299
Mass density in g cm⁻³: 5.30
Total magnetic moment in μB/cell: 0.0



# 13
The following is a DFT calculation (PBE-GGA) of a relaxed KCrIr2 crystal.

Cell: 5.938 5.938 5.938 Å, 103.51 103.51 122.19°
Sites, in units of the cell vectors:
K  0.000  0.000  0.000
K  0.750  0.250  0.500
Cr  0.250  0.750  0.500
Cr  0.500  0.500  0.000
Ir  0.197  0.625  0.072
Ir  0.375  0.447  0.572
Ir  0.553  0.125  0.928
Ir  0.875  0.803  0.428

Results
Energy relative to the elements in eV/atom: 0.981
Mass density in g cm⁻³: 10.18
Total magnetic moment in μB/cell: 2.2



# 14
The following is a DFT calculation (PBE-GGA) of a relaxed Th2NiP2 crystal.

Cell: 5.785 3.994 9.969 Å, 90.00 105.74 90.00°
Sites, in units of the cell vectors:
Th  0.092  0.250  0.171
Th  0.299  0.250  0.612
Th  0.701  0.750  0.388
Th  0.908  0.750  0.829
Ni  0.381  0.250  0.932
Ni  0.619  0.750  0.068
P  0.202  0.750  0.388
P  0.411  0.750  0.834
P  0.589  0.250  0.166
P  0.798  0.250  0.612

Results
Energy relative to the elements in eV/atom: -1.143
Mass density in g cm⁻³: 8.76
Total magnetic moment in μB/cell: 0.0



# 15
The following is a DFT calculation (PBE-GGA) of a relaxed Zr2CdSb crystal.

Cell: 3.885 3.885 6.114 Å, 90.00 90.00 90.00°
Sites, in units of the cell vectors:
Zr  0.000  0.000  0.000
Zr  0.500  0.500  0.255
Cd  0.000  0.000  0.492
Sb  0.500  0.500  0.768

Results
E_form (uncorrected) in eV per formula unit: -1.08
Mass density in g cm⁻³: 7.50
Total magnetic moment in μB/cell: 0.0



# 16
The following is a DFT calculation (PBE-GGA) of a relaxed PuRh2O8 crystal.

Cell: 5.878 5.878 6.193 Å, 90.00 90.00 120.00°
Sites, in units of the cell vectors:
Pu  0.000  0.000  0.000
Rh  0.333  0.667  0.319
Rh  0.667  0.333  0.681
O  0.166  0.333  0.191
O  0.166  0.834  0.191
O  0.333  0.166  0.809
O  0.333  0.667  0.597
O  0.667  0.333  0.403
O  0.667  0.834  0.191
O  0.834  0.166  0.809
O  0.834  0.667  0.809

Results
E_form (uncorrected) in eV per formula unit: -10.14
Mass density in g cm⁻³: 5.18
Total magnetic moment in μB/cell: 2.0



# 17
The following is a DFT calculation (PBE-GGA) of a relaxed LaScHgBr2 crystal.

Cell: 5.099 5.099 5.804 Å, 90.00 90.00 90.00°
Sites, in units of the cell vectors:
La  0.000  0.000  0.000
Sc  0.500  0.500  0.500
Hg  0.500  0.500  0.000
Br  0.000  0.500  0.500
Br  0.500  0.000  0.500

Results
E_form (uncorrected) in eV per formula unit: -3.44
Mass density in g cm⁻³: 5.99
Total magnetic moment in μB/cell: 0.0



# 18
The following is a DFT calculation (PBE-GGA) of a relaxed CaMgBr2 crystal.

Cell: 5.630 5.630 7.679 Å, 115.47 115.47 39.82°
Sites, in units of the cell vectors:
Ca  0.000  0.000  0.000
Mg  0.737  0.737  0.386
Br  0.306  0.306  0.043
Br  0.448  0.448  0.674

Results
E_form (uncorrected) in eV per formula unit: -4.57
Mass density in g cm⁻³: 2.69
Total magnetic moment in μB/cell: 0.0



# 19
The following is a DFT calculation (PBE-GGA) of a relaxed Ce2Pm3Pb2 crystal.

Cell: 10.683 10.683 10.683 Å, 156.15 152.58 36.66°
Sites, in units of the cell vectors:
Ce  0.105  0.105  0.000
Ce  0.895  0.895  0.000
Pm  0.251  0.751  0.500
Pm  0.500  0.000  0.500
Pm  0.749  0.249  0.500
Pb  0.373  0.373  0.000
Pb  0.627  0.627  0.000

Results
Energy relative to the elements in eV/atom: -0.168
Mass density in g cm⁻³: 8.27
Total magnetic moment in μB/cell: 2.9



# 20
The following is a DFT calculation (PBE-GGA) of a relaxed Mg8AlCd6 crystal.

Cell: 7.578 7.578 7.578 Å, 66.57 66.57 66.57°
Sites, in units of the cell vectors:
Mg  0.050  0.716  0.382
Mg  0.167  0.167  0.167
Mg  0.284  0.618  0.950
Mg  0.382  0.050  0.716
Mg  0.618  0.950  0.284
Mg  0.716  0.382  0.050
Mg  0.833  0.833  0.833
Mg  0.950  0.284  0.618
Al  0.500  0.500  0.500
Cd  0.121  0.447  0.775
Cd  0.225  0.879  0.553
Cd  0.447  0.775  0.121
Cd  0.553  0.225  0.879
Cd  0.775  0.121  0.447
Cd  0.879  0.553  0.225

Results
Energy relative to the elements in eV/atom: -0.002
Mass density in g cm⁻³: 4.24
Total magnetic moment in μB/cell: 0.0



# 21
The following is a DFT calculation (PBE-GGA) of a relaxed CaTb5In4 crystal.

Cell: 3.686 3.686 21.280 Å, 90.00 90.00 90.00°
Sites, in units of the cell vectors:
Ca  0.000  0.000  0.000
Tb  0.500  0.500  0.130
Tb  0.500  0.500  0.314
Tb  0.500  0.500  0.500
Tb  0.500  0.500  0.686
Tb  0.500  0.500  0.870
In  0.000  0.000  0.220
In  0.000  0.000  0.407
In  0.000  0.000  0.593
In  0.000  0.000  0.780

Results
Energy relative to the elements in eV/atom: -0.356
Mass density in g cm⁻³: 7.43
Total magnetic moment in μB/cell: 0.0



# 22
The following is a DFT calculation (PBE-GGA) of a relaxed Mg2AsRh crystal.

Cell: 4.149 4.149 3.813 Å, 90.00 90.00 90.00°
Sites, in units of the cell vectors:
Mg  0.000  0.500  0.000
Mg  0.500  0.000  0.000
As  0.000  0.000  0.500
Rh  0.500  0.500  0.500

Results
Energy relative to the elements in eV/atom: -0.441
Mass density in g cm⁻³: 5.73
Total magnetic moment in μB/cell: 0.0



# 23
The following is a DFT calculation (PBE-GGA) of a relaxed In2Ge2I crystal.

Cell: 8.611 8.611 3.804 Å, 90.00 90.00 90.00°
Sites, in units of the cell vectors:
In  0.187  0.313  0.000
In  0.313  0.813  0.000
In  0.687  0.187  0.000
In  0.813  0.687  0.000
Ge  0.104  0.604  0.500
Ge  0.396  0.104  0.500
Ge  0.604  0.896  0.500
Ge  0.896  0.396  0.500
I  0.000  0.000  0.000
I  0.500  0.500  0.000

Results
E_form (uncorrected) in eV per formula unit: 1.01
Mass density in g cm⁻³: 5.91
Total magnetic moment in μB/cell: 0.0



# 24
The following is a DFT calculation (PBE-GGA) of a relaxed YCr2In crystal.

Cell: 3.217 4.237 6.098 Å, 90.00 90.00 90.00°
Sites, in units of the cell vectors:
Y  0.000  0.000  0.000
Cr  0.000  0.000  0.511
Cr  0.500  0.500  0.759
In  0.500  0.500  0.299

Results
Energy relative to the elements in eV/atom: 0.460
Mass density in g cm⁻³: 6.15
Total magnetic moment in μB/cell: 6.6



# 25
The following is a DFT calculation (PBE-GGA) of a relaxed LiPCl2O crystal.

Cell: 4.054 4.054 6.580 Å, 90.00 90.00 90.00°
Sites, in units of the cell vectors:
Li  0.000  0.000  0.000
P  0.000  0.000  0.500
Cl  0.000  0.500  0.000
Cl  0.500  0.000  0.000
O  0.500  0.500  0.500

Results
E_form (uncorrected) in eV per formula unit: 3.42
Mass density in g cm⁻³: 1.92
Total magnetic moment in μB/cell: 0.0